RbTi3V | PBE-GGA | relaxed

Summary:
Energy of formation   2.19 eV per atom
Magnetic moment   0.908 μB/cell
Electronic total energy   -22.83 eV for the cell shown
Excess energy over the best structure of this formula in the dataset   1.097 eV per atom
Density   4.53 g/cm³

abc: 4.683 4.683 4.683
angles: 90.00 90.00 90.00
Space group Pm-3m (No. 221)
Symmetry-distinct sites (fractional):
Rb  0.000  0.000  0.000 [1 per cell]
Ti  0.000  0.000  0.500 [3 per cell]
V  0.500  0.500  0.500 [1 per cell]